Entry from the Alexandria database: an optimized crystal structure of YEr6Tm2Sc3 (PBE-GGA).

It has space group C2/m (No. 12), with a = 5.990 Å, b = 10.365 Å, c = 11.387 Å, α = 90.00°, β = 100.08° and γ = 90.00°. The inequivalent atoms are Y at (0.000, 0.000, 0.000), Er at (0.247, 0.333, 0.742), Er at (0.248, 0.000, 0.742), Tm at (0.000, 0.333, 0.000), Sc at (0.000, 0.167, 0.500) and Sc at (0.000, 0.500, 0.500).

As for the energy of formation from the pure elements: 0.05 eV per atom. The value obtained for the total moment is 0.00 Bohr magnetons per cell.